# 1
VASP calculation (PBE-GGA) on crystalline TbPm2Cd at its relaxed geometry.

abc: 3.691 3.691 9.027
angles: 90.00 90.00 90.00
Space group P4/mmm (No. 123)
Asymmetric unit:
Tb (0.000, 0.000, 0.000) (multiplicity 1)
Pm (0.500, 0.500, 0.273) (multiplicity 2)
Cd (0.000, 0.000, 0.500) (multiplicity 1)

Calculated values
The density of states at the Fermi level comes out at 1.1221 states/eV per atom. The calculation puts the formation energy at -0.1414 eV/atom. As for the energy above the most stable polymorph in this dataset: 0.00 eV/f.u.



# 2
VASP calculation (PBE-GGA) on crystalline Th4HgC2 at its relaxed geometry.

abc: 3.817 12.845 13.682
angles: 90.00 90.00 90.00
Space group Cmcm (No. 63)
Asymmetric unit:
Th (0.000, 0.000, 0.000) (multiplicity 4)
Th (0.000, 0.265, 0.103) (multiplicity 8)
Th (0.000, 0.414, 0.750) (multiplicity 4)
Hg (0.000, 0.108, 0.750) (multiplicity 4)
C (0.000, 0.364, 0.563) (multiplicity 8)

Calculated values
The density of states at the Fermi level comes out at 1.0313 states/eV per atom. The calculation puts the formation energy at -0.2454 eV/atom. As for the energy above the most stable polymorph in this dataset: 0.06 eV/f.u.



# 3
VASP calculation (PBE-GGA) on crystalline Bi4ClO4 at its relaxed geometry.

abc: 9.251 9.251 4.628
angles: 90.00 90.00 90.00
Space group P4_2/n (No. 86, origin choice 2)
Asymmetric unit:
Bi (0.049, 0.805, 0.023) (multiplicity 8)
Cl (0.250, 0.250, 0.250) (multiplicity 2)
O (0.106, 0.779, 0.541) (multiplicity 8)

Calculated values
The energy relative to the elements, uncorrected is -898 meV/atom. The density of states at the Fermi level comes out at 0.2419 states/eV per atom.



# 4
VASP calculation (PBE-GGA) on crystalline SrPaSeO5 at its relaxed geometry.

abc: 6.711 10.248 7.985
angles: 90.00 91.51 90.00
Space group C2/c (No. 15)
Asymmetric unit:
Sr (0.000, 0.155, 0.250) (multiplicity 4)
Pa (0.000, 0.500, 0.000) (multiplicity 4)
Se (0.000, 0.194, 0.750) (multiplicity 4)
O (0.000, 0.399, 0.250) (multiplicity 4)
O (0.130, 0.300, 0.625) (multiplicity 8)
O (0.219, 0.056, 0.038) (multiplicity 8)

Calculated values
The energy relative to the elements, uncorrected is -2414 meV/atom.



Total magnetization values (in μB per formula unit) by entry order: 0.00; 0.00; 0.00; 1.00.
Calculated total energy values (in eV/atom) by entry order: -3.9031; -7.1638; -5.0317; -7.3458.